[1]
## Y3In (meta-GGA SCAN)

Data for a crystal of Y3In relaxed with PBEsol.

Properties
The total energy comes out at -118.05 eV per formula unit. As for the crystal system: orthorhombic.

Cell: 3.5664 4.6505 6.7002 Å, 90.00 90.00 90.00°
With the nearest neighbours (Å) after each atom.
Space group Pmmm (No. 47)
Unique sites:
Y: 0.0000 0.0000 0.0000 (multiplicity 1)  2 In 3.35, 10 Y 3.40-3.57
Y: 0.5000 0.5000 0.2584 (multiplicity 2)  8 Y 3.24-3.57, 4 In 3.35
In: 0.0000 0.0000 0.5000 (multiplicity 1)  10 Y 3.35, 2 In 3.57

=====

[2]
## LiHgSe2 (meta-GGA SCAN)

Data for a crystal of LiHgSe2 relaxed with PBEsol.

Properties
As for the crystal system: orthorhombic. The calculation puts the energy relative to the elements, uncorrected at -0.401 eV per atom.

Cell: 4.8890 5.5007 3.0477 Å, 90.00 90.00 90.00°
With the nearest neighbours (Å) after each atom.
Space group Pmm2 (No. 25)
Unique sites:
Li: 0.0000 0.0000 0.0000 (multiplicity 1)  6 Se 2.75-2.89, 2 Li 3.05
Hg: 0.5000 0.5000 0.4965 (multiplicity 1)  6 Se 2.75-2.88, 2 Hg 3.05
Se: 0.0000 0.5000 0.9958 (multiplicity 1)  2 Li 2.75, 4 Hg 2.88, 2 Se 3.05
Se: 0.5000 0.0000 0.4957 (multiplicity 1)  2 Hg 2.75, 4 Li 2.87-2.89, 2 Se 3.05